Density functional theory data (PBE) for Al2SnSeBr after structural relaxation.

E = -2.6336 eV per atom
Total magnetic moment = 0.000 μB/f.u.

Geometry as CIF:
```
data_Al2SnSeBr
_chemical_formula_sum 'Al2 Sn1 Se1 Br1'
_space_group_name_H-M_alt 'P 4/m m m'
_space_group_IT_number 123
_space_group_name_Hall '-P 4 2'
_cell_length_a 5.410
_cell_length_b 5.410
_cell_length_c 5.669
_cell_angle_alpha 90.00
_cell_angle_beta 90.00
_cell_angle_gamma 90.00
loop_
_atom_site_label
_atom_site_fract_x
_atom_site_fract_y
_atom_site_fract_z
_atom_site_occupancy
Al1 0.000 0.500 0.000 1
Sn1 0.000 0.000 0.500 1
Se1 0.500 0.500 0.500 1
Br1 0.000 0.000 0.000 1
```